# PbW2Au PBE optimized geometry
data_PbW2Au
_space_group_name_H-M_alt 'C 1 m 1'
_space_group_IT_number 8
_cell_length_a 9.8653
_cell_length_b 2.9038
_cell_length_c 5.2217
_cell_angle_alpha 90.00
_cell_angle_beta 95.34
_cell_angle_gamma 90.00
loop_
_space_group_symop_operation_xyz
'x,y,z'
'x,-y,z'
'x+1/2,y+1/2,z'
'x+1/2,-y+1/2,z'
loop_
_atom_site_label
_atom_site_fract_x
_atom_site_fract_y
_atom_site_fract_z
_atom_site_occupancy
Pb1 0.0000 0.0000 0.0000 1
W1 0.2439 0.0000 0.7042 1
W2 0.4888 0.0000 0.5057 1
Au1 0.2541 0.5000 0.2326 1
# Formation enthalpy at 0 K, eV/atom: 0.833
# Volume, A^3/atom: 18.62
# Electronic total energy, eV/atom: -7.390
# N(E_F), states/eV per atom: 0.793